Density functional theory data (GGA-PBE) for crystalline Nd2Zn3Au2 at its relaxed geometry.

```
7
Lattice="5.0785 -2.3188 0.0000 5.0785 2.3188 0.0000 -2.1828 0.0000 6.3440" Properties=species:S:1:pos:R:3 pbc="T T T"
Nd 0.8900 0.0000 1.7183
Nd 7.0843 0.0000 4.6256
Zn 3.9088 0.0000 0.5333
Zn 3.9871 0.0000 3.1720
Zn 4.0655 0.0000 5.8106
Au -0.0132 0.0000 4.7178
Au 7.9874 0.0000 1.6262
```

Calculated values
E_form   -0.55 eV/atom
Space-group type   C2/m, No. 12
Raw total energy   -3.40 eV/atom
Spin magnetization   0.000 μB/atom